# 1
! Pm2TePd, optimized geometry, DFT GGA-PBE; values from VASP
&SYSTEM
  ibrav = 0, nat = 4, ntyp = 3
/
ATOMIC_SPECIES
Pm 145.00 Pm.upf
Pd 106.42 Pd.upf
Te 127.60 Te.upf
CELL_PARAMETERS angstrom
-3.676 2.528 2.852
-4.961 0.373 -1.811
-3.883 -2.737 2.336
ATOMIC_POSITIONS angstrom
Pm -3.130 0.041 0.844
Pd 0.000 0.000 0.000
Te -6.260 0.082 1.689
Pm -9.390 0.123 2.533
! uncorrected formation energy: -0.822 eV/atom

=====

# 2
! PmTePd4, optimized geometry, DFT GGA-PBE; values from VASP
&SYSTEM
  ibrav = 0, nat = 6, ntyp = 3
/
ATOMIC_SPECIES
Te 127.60 Te.upf
Pd 106.42 Pd.upf
Pm 145.00 Pm.upf
CELL_PARAMETERS angstrom
5.469 0.000 0.000
2.734 4.736 0.000
2.734 1.579 4.465
ATOMIC_POSITIONS angstrom
Te 0.000 0.000 0.000
Pd 4.110 3.942 2.788
Pd 6.828 3.942 2.788
Pd 5.469 3.157 0.568
Pm 2.734 1.579 1.116
Pd 5.469 1.588 2.788
! uncorrected formation energy: -0.538 eV/atom

=====

# 3
! Pm3Te4Pd3, optimized geometry, DFT GGA-PBE; values from VASP
&SYSTEM
  ibrav = 0, nat = 20, ntyp = 3
/
ATOMIC_SPECIES
Pm 145.00 Pm.upf
Pd 106.42 Pd.upf
Te 127.60 Te.upf
CELL_PARAMETERS angstrom
-1.410 -8.369 -1.559
3.232 0.941 7.946
-7.438 4.332 -0.612
ATOMIC_POSITIONS angstrom
Pm -5.703 0.228 -0.051
Pd -7.161 -2.369 -0.712
Pm -4.965 -0.734 4.449
Pm -0.824 0.390 2.632
Pm 1.546 -0.727 6.486
Pm -1.827 -4.064 3.567
Te -6.200 3.612 -0.510
Te 0.441 -6.506 2.673
Te -2.481 1.445 -0.204
Pd -0.542 1.284 5.535
Te -3.345 -1.704 1.565
Pd 0.087 -3.324 5.825
Pd -3.789 0.968 2.207
Te -3.037 2.122 4.628
Te -1.639 -4.700 0.181
Pd -0.650 -2.362 1.325
Pm -5.074 -4.380 0.240
Te -1.730 -1.234 5.538
Pd -4.792 -3.486 3.143
Te 1.146 -2.322 3.453
! uncorrected formation energy: -1.132 eV/atom

=====

# 4
! PmTe2Pd7, optimized geometry, DFT GGA-PBE; values from VASP
&SYSTEM
  ibrav = 0, nat = 10, ntyp = 3
/
ATOMIC_SPECIES
Pm 145.00 Pm.upf
Te 127.60 Te.upf
Pd 106.42 Pd.upf
CELL_PARAMETERS angstrom
-3.835 -1.806 -0.489
1.735 -3.850 0.614
-0.716 3.717 10.510
ATOMIC_POSITIONS angstrom
Pm 0.000 0.000 0.000
Te -1.658 -2.522 3.705
Pd -3.345 -0.184 8.305
Pd -0.015 -1.480 5.593
Pd -2.255 -0.733 1.779
Pd 0.530 -1.755 2.330
Te -1.157 0.583 6.930
Pd -2.800 -0.458 5.042
Pd -1.050 -2.828 0.063
Pd -0.560 -1.206 8.856
! uncorrected formation energy: -0.471 eV/atom

=====

# 5
! Pm5Te4Pd, optimized geometry, DFT GGA-PBE; values from VASP
&SYSTEM
  ibrav = 0, nat = 10, ntyp = 3
/
ATOMIC_SPECIES
Pm 145.00 Pm.upf
Pd 106.42 Pd.upf
Te 127.60 Te.upf
CELL_PARAMETERS angstrom
4.306 0.000 0.528
2.121 3.747 0.528
-0.144 -0.084 19.002
ATOMIC_POSITIONS angstrom
Pm 3.822 2.229 4.473
Pd 3.141 1.832 10.029
Te 0.552 0.322 13.320
Te 4.371 2.549 17.818
Pm 2.460 1.434 15.585
Te 1.911 1.114 2.240
Pm 5.092 2.969 11.942
Pm 0.000 0.000 0.000
Pm 1.190 0.694 8.116
Te 5.730 3.341 6.738
! uncorrected formation energy: -1.265 eV/atom

=====

# 6
! PmTe3Pd3, optimized geometry, DFT GGA-PBE; values from VASP
&SYSTEM
  ibrav = 0, nat = 14, ntyp = 3
/
ATOMIC_SPECIES
Te 127.60 Te.upf
Pd 106.42 Pd.upf
Pm 145.00 Pm.upf
CELL_PARAMETERS angstrom
7.330 0.000 0.000
0.000 7.330 0.000
0.000 0.000 7.330
ATOMIC_POSITIONS angstrom
Te 3.665 5.498 0.000
Te 3.665 1.833 0.000
Pd 5.498 3.665 0.000
Te 0.000 3.665 1.833
Te 1.833 0.000 3.665
Te 5.498 0.000 3.665
Te 0.000 3.665 5.498
Pm 3.665 3.665 3.665
Pd 1.833 3.665 0.000
Pd 0.000 5.498 3.665
Pm 0.000 0.000 0.000
Pd 3.665 0.000 5.498
Pd 3.665 0.000 1.833
Pd 0.000 1.833 3.665
! uncorrected formation energy: -0.254 eV/atom

=====

# 7
! PmTePd5, optimized geometry, DFT GGA-PBE; values from VASP
&SYSTEM
  ibrav = 0, nat = 28, ntyp = 3
/
ATOMIC_SPECIES
Te 127.60 Te.upf
Pd 106.42 Pd.upf
Pm 145.00 Pm.upf
CELL_PARAMETERS angstrom
5.576 0.000 0.000
0.000 8.840 0.000
0.000 0.000 10.725
ATOMIC_POSITIONS angstrom
Te 4.182 1.515 1.671
Te 4.182 5.935 3.691
Pd 4.182 2.806 7.757
Pd 2.753 4.952 8.533
Pd 5.541 3.888 2.192
Pd 1.394 5.250 0.241
Pm 4.182 2.152 4.838
Pd 2.823 8.308 3.171
Pd 0.035 4.952 8.533
Pd 0.035 0.532 7.554
Te 1.394 2.905 7.034
Pd 1.394 3.769 4.600
Pm 4.182 6.572 0.525
Pd 5.541 8.308 3.171
Pd 1.394 8.189 0.763
Te 1.394 7.325 9.054
Pd 2.823 3.888 2.192
Pd 1.394 1.614 2.394
Pm 1.394 6.688 5.887
Pd 4.182 8.010 5.603
Pd 4.182 5.071 6.125
Pd 1.394 6.034 2.969
Pd 4.182 0.651 9.963
Pd 2.753 0.532 7.554
Pd 4.182 7.226 8.331
Pm 1.394 2.268 10.200
Pd 4.182 3.590 10.484
Pd 1.394 0.830 5.122
! uncorrected formation energy: -0.550 eV/atom

=====

# 8
! Pm6Te5Pd, optimized geometry, DFT GGA-PBE; values from VASP
&SYSTEM
  ibrav = 0, nat = 12, ntyp = 3
/
ATOMIC_SPECIES
Te 127.60 Te.upf
Pm 145.00 Pm.upf
Pd 106.42 Pd.upf
CELL_PARAMETERS angstrom
7.550 -0.111 -1.429
-4.074 6.358 -1.429
0.138 0.247 7.671
ATOMIC_POSITIONS angstrom
Te -1.939 5.332 2.406
Pm 2.665 0.493 1.122
Pm 0.912 1.639 5.119
Te 1.807 3.247 2.406
Pm 4.599 3.969 3.691
Te 5.553 1.162 2.406
Pd 0.000 0.000 0.000
Pm -0.986 2.525 1.122
Pm 2.702 4.855 -0.306
Pm 0.949 6.001 3.691
Te -0.165 4.183 -1.429
Te 3.642 2.064 -1.429
! uncorrected formation energy: -1.316 eV/atom

=====

# 9
! Pm2TePd, optimized geometry, DFT GGA-PBE; values from VASP
&SYSTEM
  ibrav = 0, nat = 4, ntyp = 3
/
ATOMIC_SPECIES
Te 127.60 Te.upf
Pd 106.42 Pd.upf
Pm 145.00 Pm.upf
CELL_PARAMETERS angstrom
4.252 0.000 0.000
2.126 3.682 0.000
2.126 1.227 7.554
ATOMIC_POSITIONS angstrom
Te 4.252 2.455 3.781
Pd 4.252 2.455 0.001
Pm 2.126 1.227 1.606
Pm 2.126 1.227 5.942
! uncorrected formation energy: -1.040 eV/atom

=====

# 10
! Pm2TePd, optimized geometry, DFT GGA-PBE; values from VASP
&SYSTEM
  ibrav = 0, nat = 4, ntyp = 3
/
ATOMIC_SPECIES
Pm 145.00 Pm.upf
Te 127.60 Te.upf
Pd 106.42 Pd.upf
CELL_PARAMETERS angstrom
-3.491 1.456 -1.902
-3.795 -0.636 1.766
-1.768 6.778 3.719
ATOMIC_POSITIONS angstrom
Pm -2.242 2.107 1.016
Te 0.000 0.000 0.000
Pm -6.811 5.491 2.567
Pd -4.527 3.799 1.791
! uncorrected formation energy: -1.045 eV/atom

=====

# 11
! Pm4TePd, optimized geometry, DFT GGA-PBE; values from VASP
&SYSTEM
  ibrav = 0, nat = 12, ntyp = 3
/
ATOMIC_SPECIES
Pm 145.00 Pm.upf
Pd 106.42 Pd.upf
Te 127.60 Te.upf
CELL_PARAMETERS angstrom
5.646 0.000 0.000
0.000 6.374 0.000
-2.823 0.000 10.369
ATOMIC_POSITIONS angstrom
Pm 0.000 0.467 6.116
Pm 0.000 5.240 9.297
Pd 0.000 2.054 8.666
Pm 2.823 0.454 4.253
Te 2.823 5.241 7.238
Pm 0.000 5.241 2.282
Pm 2.823 2.054 8.087
Te 0.000 2.054 3.131
Pm 2.823 2.054 1.072
Pd 2.823 5.241 1.703
Pm 2.823 3.654 4.253
Pm 0.000 3.641 6.116
! uncorrected formation energy: -0.555 eV/atom

=====

# 12
! Pm5Te5Pd, optimized geometry, DFT GGA-PBE; values from VASP
&SYSTEM
  ibrav = 0, nat = 11, ntyp = 3
/
ATOMIC_SPECIES
Pm 145.00 Pm.upf
Te 127.60 Te.upf
Pd 106.42 Pd.upf
CELL_PARAMETERS angstrom
6.304 0.000 0.000
-3.152 7.008 -0.090
0.000 -2.735 8.368
ATOMIC_POSITIONS angstrom
Pm 3.152 0.000 0.000
Te 0.000 4.235 1.400
Te 3.152 1.559 2.761
Te 3.152 0.038 6.877
Pm 3.152 2.941 5.609
Pm 0.000 1.332 2.669
Te 0.000 2.714 5.516
Te 0.000 -1.368 4.184
Pm 3.152 4.389 1.260
Pd 0.000 0.000 0.000
Pm 0.000 -0.117 7.018
! uncorrected formation energy: -1.264 eV/atom

=====

# 13
! PmTe2Pd, optimized geometry, DFT GGA-PBE; values from VASP
&SYSTEM
  ibrav = 0, nat = 4, ntyp = 3
/
ATOMIC_SPECIES
Pd 106.42 Pd.upf
Te 127.60 Te.upf
Pm 145.00 Pm.upf
CELL_PARAMETERS angstrom
4.939 0.000 0.000
2.469 4.277 0.000
2.469 1.426 4.868
ATOMIC_POSITIONS angstrom
Pd 0.000 0.000 0.000
Te 7.408 4.277 3.924
Te 2.469 1.426 0.944
Pm 4.939 2.851 2.434
! uncorrected formation energy: -0.750 eV/atom

=====

# 14
! Pm2TePd, optimized geometry, DFT GGA-PBE; values from VASP
&SYSTEM
  ibrav = 0, nat = 4, ntyp = 3
/
ATOMIC_SPECIES
Pm 145.00 Pm.upf
Te 127.60 Te.upf
Pd 106.42 Pd.upf
CELL_PARAMETERS angstrom
-1.751 -2.281 2.473
3.222 -0.335 1.972
-1.858 5.784 4.019
ATOMIC_POSITIONS angstrom
Pm -0.433 1.348 0.937
Te -0.194 1.584 4.232
Pm -1.425 4.436 3.083
Pd 0.735 -1.308 2.222
! uncorrected formation energy: -0.934 eV/atom

=====

# 15
! PmTe2Pd, optimized geometry, DFT GGA-PBE; values from VASP
&SYSTEM
  ibrav = 0, nat = 4, ntyp = 3
/
ATOMIC_SPECIES
Pm 145.00 Pm.upf
Te 127.60 Te.upf
Pd 106.42 Pd.upf
CELL_PARAMETERS angstrom
3.924 0.000 0.000
0.000 5.010 0.000
0.000 0.000 5.010
ATOMIC_POSITIONS angstrom
Pm 1.962 2.505 2.505
Te 0.000 0.000 2.505
Te 0.000 2.505 0.000
Pd 1.962 0.000 0.000
! uncorrected formation energy: -0.802 eV/atom

=====

# 16
! PmTe2Pd4, optimized geometry, DFT GGA-PBE; values from VASP
&SYSTEM
  ibrav = 0, nat = 14, ntyp = 3
/
ATOMIC_SPECIES
Te 127.60 Te.upf
Pm 145.00 Pm.upf
Pd 106.42 Pd.upf
CELL_PARAMETERS angstrom
4.426 0.000 0.000
0.000 7.985 0.000
0.000 0.000 7.985
ATOMIC_POSITIONS angstrom
Te 0.000 1.723 6.262
Pm 0.000 3.992 3.992
Pd 0.000 5.178 7.192
Pd 2.213 6.799 3.199
Pd 2.213 4.785 1.185
Pd 2.213 1.185 4.785
Pd 0.000 0.793 2.807
Pd 0.000 2.807 0.793
Pd 2.213 3.199 6.799
Pm 2.213 0.000 0.000
Te 0.000 6.262 1.723
Te 2.213 2.270 2.270
Pd 0.000 7.192 5.178
Te 2.213 5.715 5.715
! uncorrected formation energy: -0.687 eV/atom

=====

# 17
! PmTh2Pd, optimized geometry, DFT GGA-PBE; values from VASP
&SYSTEM
  ibrav = 0, nat = 4, ntyp = 3
/
ATOMIC_SPECIES
Pm 145.00 Pm.upf
Th 232.04 Th.upf
Pd 106.42 Pd.upf
CELL_PARAMETERS angstrom
-0.251 2.143 3.067
-0.434 -1.590 3.368
9.580 -0.210 3.223
ATOMIC_POSITIONS angstrom
Pm 4.492 0.170 4.834
Th 7.560 -0.129 3.001
Pd 9.076 0.160 7.507
Th 1.796 0.103 2.367
! ΔH_f (0 K): -186 meV per atom

=====

# 18
! PmTh2Pd, optimized geometry, DFT GGA-PBE; values from VASP
&SYSTEM
  ibrav = 0, nat = 4, ntyp = 3
/
ATOMIC_SPECIES
Th 232.04 Th.upf
Pd 106.42 Pd.upf
Pm 145.00 Pm.upf
CELL_PARAMETERS angstrom
-3.396 -0.610 -0.759
-1.031 -0.299 -3.365
0.397 -11.227 -0.979
ATOMIC_POSITIONS angstrom
Th -3.861 -4.210 -4.005
Th -0.169 -7.925 -1.099
Pd -2.015 -6.068 -2.552
Pm 0.000 0.000 0.000
! ΔH_f (0 K): 17 meV per atom

=====

# 19
! PmTh2Pd9, optimized geometry, DFT GGA-PBE; values from VASP
&SYSTEM
  ibrav = 0, nat = 12, ntyp = 3
/
ATOMIC_SPECIES
Pd 106.42 Pd.upf
Pm 145.00 Pm.upf
Th 232.04 Th.upf
CELL_PARAMETERS angstrom
-1.757 -3.824 0.082
1.294 -0.679 -3.947
10.787 -4.863 4.372
ATOMIC_POSITIONS angstrom
Pd 6.945 -5.486 0.976
Pd 9.616 -4.382 1.662
Pd 2.465 -1.159 -1.237
Pd -0.231 -2.251 -1.933
Pm 0.000 0.000 0.000
Pd 0.940 -2.731 0.778
Pd 3.379 -3.879 -0.469
Pd 8.091 -5.955 3.676
Th 7.225 -3.257 2.928
Th 3.562 -1.606 1.444
Pd 6.040 -2.771 0.213
Pd 4.515 -4.343 2.227
! ΔH_f (0 K): -923 meV per atom

=====

# 20
! PmThPd4, optimized geometry, DFT GGA-PBE; values from VASP
&SYSTEM
  ibrav = 0, nat = 6, ntyp = 3
/
ATOMIC_SPECIES
Pd 106.42 Pd.upf
Pm 145.00 Pm.upf
Th 232.04 Th.upf
CELL_PARAMETERS angstrom
5.521 0.000 0.000
2.761 4.781 0.000
2.761 1.594 4.508
ATOMIC_POSITIONS angstrom
Pd 5.521 3.188 0.563
Pd 6.902 3.985 2.818
Pd 4.141 3.985 2.818
Pd 5.521 1.594 2.818
Pm 2.761 1.594 1.127
Th 0.000 0.000 0.000
! ΔH_f (0 K): -724 meV per atom